# CsPdW2

CsPdW2 after structural relaxation (PBE, the Alexandria database).

Output
**Magnetic moment**: 0.00 μB per formula unit
**DOS at the Fermi energy**: 1.313 states/eV/atom
**Polymorph energy (0 for the lowest one)**: 153 meV/atom
**Formation energy from the elements**: 2033 meV per atom

Unit cell a=6.6443 b=6.6443 c=6.6443 alpha=90.00 beta=90.00 gamma=90.00
Closest atoms and distances in Å follow each position.
Space group Fm-3m (No. 225)
Inequivalent atoms, fractional coordinates:
Cs1 0.0000 0.0000 0.0000 (multiplicity 4)  8 W 2.88
Pd1 0.0000 0.0000 0.5000 (multiplicity 4)  8 W 2.88
W1 0.2500 0.2500 0.2500 (multiplicity 8)  4 Pd 2.88, 4 Cs 2.88

---

# Nd5Er2Sc

Nd5Er2Sc after structural relaxation (PBE, the Alexandria database).

Output
**Magnetic moment**: 0.50 μB per formula unit
**DOS at the Fermi energy**: 1.241 states/eV/atom
**Formation energy from the elements**: 122 meV per atom

Unit cell a=9.1783 b=9.1783 c=12.5086 alpha=90.00 beta=90.00 gamma=90.00
Closest atoms and distances in Å follow each position.
Space group I4/mcm (No. 140)
Inequivalent atoms, fractional coordinates:
Nd1 0.0000 0.0000 0.0000 (multiplicity 4)  2 Sc 3.13
Nd2 0.1517 0.3483 0.1655 (multiplicity 16)  3 Nd 3.31-3.50, 3 Er 3.37-3.41, 2 Sc 3.64
Er1 0.1436 0.3564 0.5000 (multiplicity 8)  8 Nd 3.37-3.53, 1 Er 3.73
Sc1 0.0000 0.0000 0.2500 (multiplicity 4)  2 Nd 3.13